1.
A relaxed Cd3Pb crystal. Source: Alexandria, functional GGA-PBE.

Unit cell a=7.4708 b=7.4708 c=4.8267 alpha=90.00 beta=90.00 gamma=130.02
Last column: nearest neighbours and their distance in Å.
Atoms (fractional coordinates):
Cd1 0.1310 0.8690 0.7500  6 Cd 3.05-3.20, 4 Pb 3.30
Cd2 0.1953 0.3364 0.7500  6 Cd 2.96-3.20
Cd3 0.3364 0.1953 0.2500  6 Cd 2.96-3.20
Cd4 0.6636 0.8047 0.7500  6 Cd 2.96-3.20
Cd5 0.8047 0.6636 0.2500  6 Cd 2.96-3.20
Cd6 0.8690 0.1310 0.2500  6 Cd 3.05-3.20, 4 Pb 3.30
Pb1 0.2970 0.7030 0.2500  10 Cd 3.30-3.49
Pb2 0.7030 0.2970 0.7500  10 Cd 3.30-3.49

2.
A relaxed Cd3Pb crystal. Source: Alexandria, functional GGA-PBE.

Unit cell a=5.2449 b=9.5923 c=8.2593 alpha=90.00 beta=90.00 gamma=90.00
Last column: nearest neighbours and their distance in Å.
Atoms (fractional coordinates):
Cd1 0.1349 0.2500 0.1519  8 Cd 3.05-3.32, 2 Pb 3.12-3.30
Cd2 0.1641 0.0223 0.8499  6 Cd 3.05-3.32, 3 Pb 3.18-3.40
Cd3 0.1641 0.4777 0.8499  6 Cd 3.05-3.32, 3 Pb 3.18-3.40
Cd4 0.3359 0.5223 0.3499  6 Cd 3.05-3.32, 3 Pb 3.18-3.40
Cd5 0.3359 0.9777 0.3499  6 Cd 3.05-3.32, 3 Pb 3.18-3.40
Cd6 0.3651 0.7500 0.6519  8 Cd 3.05-3.32, 2 Pb 3.12-3.30
Cd7 0.6349 0.2500 0.3481  8 Cd 3.05-3.32, 2 Pb 3.12-3.30
Cd8 0.6641 0.0223 0.6501  6 Cd 3.05-3.32, 3 Pb 3.18-3.40
Cd9 0.6641 0.4777 0.6501  6 Cd 3.05-3.32, 3 Pb 3.18-3.40
Cd10 0.8359 0.5223 0.1501  6 Cd 3.05-3.32, 3 Pb 3.18-3.40
Cd11 0.8359 0.9777 0.1501  6 Cd 3.05-3.32, 3 Pb 3.18-3.40
Cd12 0.8651 0.7500 0.8481  8 Cd 3.05-3.32, 2 Pb 3.12-3.30
Pb1 0.1133 0.2500 0.5725  9 Cd 3.12-3.48
Pb2 0.3867 0.7500 0.0725  9 Cd 3.12-3.48
Pb3 0.6133 0.2500 0.9275  9 Cd 3.12-3.48
Pb4 0.8867 0.7500 0.4275  9 Cd 3.12-3.48

Number 1: ΔH_f (0 K) 41 meV per atom, total energy -1.572 eV per atom, D(E_F) 1.6 states/eV/f.u.. Number 2: ΔH_f (0 K) 51 meV per atom, total energy -1.562 eV per atom, D(E_F) 1.2 states/eV/f.u..